The following is a GGA+U calculation of an optimized crystal structure of FeNiGeO2, from Alexandria via LeMat-Bulk.

V (Å³/f.u.): 66.8
Crystal system: tetragonal
Space-group type: No. 123
Mass density (kg/m³): 5451
Uncorrected energy (hartree per atom): -0.161

```
5
Lattice="3.737 0.000 0.000 0.000 4.782 0.000 0.000 0.000 3.737" Properties=species:S:1:pos:R:3 pbc="T T T"
Ni 0.000 2.391 0.000
Ge 0.000 0.000 0.000
Fe 1.868 2.391 1.868
O 0.000 0.000 1.868
O 1.868 0.000 0.000
```